(1)
## CoNiB2 (PBE)

Data for a relaxed structure of CoNiB2.

Cell lengths 3.606, 3.606, 3.606 Å; angles 60.00, 60.00, 60.00 degrees
Atoms (fractional coordinates):
B  0.500  0.500  0.500
B  0.750  0.750  0.750
Ni  0.000  0.000  0.000
Co  0.250  0.250  0.250

Values from the calculation:
- calculated total energy (Ha/atom) = -0.21686
- polymorph energy (0 for the lowest one) (meV per atom) = 913
- space group = No. 216
- calculated volume (Å³/cell) = 33.1



(2)
## CoNi2B (PBE)

Data for a relaxed structure of CoNi2B.

Cell lengths 3.773, 3.773, 3.773 Å; angles 60.00, 60.00, 60.00 degrees
Atoms (fractional coordinates):
Ni  0.750  0.750  0.750
Ni  0.500  0.500  0.500
Co  0.000  0.000  0.000
B  0.250  0.250  0.250

Values from the calculation:
- calculated total energy (Ha/atom) = -0.22230
- space group = No. 216
- calculated volume (Å³/cell) = 38.0



Which value of calculated volume does entry 2 give? 38.0 Å³/cell



What did the second record say?
## CoNi2B (PBE)

Data for a relaxed structure of CoNi2B.

Cell lengths 3.773, 3.773, 3.773 Å; angles 60.00, 60.00, 60.00 degrees
Atoms (fractional coordinates):
Ni  0.750  0.750  0.750
Ni  0.500  0.500  0.500
Co  0.000  0.000  0.000
B  0.250  0.250  0.250

Values from the calculation:
- calculated total energy (Ha/atom) = -0.22230
- space group = No. 216
- calculated volume (Å³/cell) = 38.0



calculated total energy of number 2 (CoNi2B)? -0.22230 Ha/atom



What is the formula in the second record? CoNi2B